Below is a geometry-optimized CaHoTh structure, with properties calculated at the PBE level.

Computed properties:
The total energy is -4.5594 eV per atom. Its formation energy is 0.11 eV/atom. The distance to the lowest polymorph of the same formula comes out at 5 meV per atom.

Cell: 3.575 3.575 8.486 Å, 102.16 102.16 90.00°
Atoms (fractional coordinates):
1 Ca 0.999 0.999 0.999
2 Ho 0.677 0.677 0.355
3 Th 0.323 0.323 0.647